1.
Material: Ac2AlSiPd6
Method: DFT, PBE
State: relaxed

```
Ac2AlSiPd6
1.0
-3.4062 -1.9167 -5.1481
-2.0823 -5.7381 3.1121
-6.4882 -1.1904 0.5034
Al Pd Ac Si
1 6 2 1
direct
0.0000 0.0000 0.0000 Al
0.1878 0.2422 0.0749 Pd
0.8585 0.3565 0.8895 Pd
0.1887 0.2389 0.4950 Pd
0.8122 0.7578 0.9251 Pd
0.8113 0.7611 0.5050 Pd
0.1415 0.6435 0.1106 Pd
0.6704 0.2244 0.5517 Ac
0.3296 0.7756 0.4483 Ac
0.5000 0.5000 0.0000 Si
```

Properties
formation energy (no corrections): -7.6 eV/f.u.
SG: P-1

---

2.
Material: PrSm3Au2
Method: DFT, PBE
State: relaxed

```
PrSm3Au2
1.0
-2.3766 -2.1826 -4.2262
6.5287 -6.2855 2.9197
-7.8256 1.1325 3.8158
Pr Au Sm
2 4 6
direct
0.1337 0.2674 0.0662 Pr
0.8663 0.7326 0.9338 Pr
0.5015 0.0031 0.8415 Au
0.2182 0.4364 0.8230 Au
0.7818 0.5636 0.1770 Au
0.4985 0.9969 0.1585 Au
0.3052 0.6103 0.6160 Sm
0.9381 0.8761 0.6045 Sm
0.3764 0.7527 0.2664 Sm
0.0619 0.1239 0.3955 Sm
0.6236 0.2473 0.7336 Sm
0.6948 0.3897 0.3840 Sm
```

Properties
excess energy over the best structure of this formula in the dataset: 0.0711 eV/atom
energy relative to the elements: -0.461 eV/atom
SG: C2/m